NbCuSnOs: optimized geometry, GGA-PBE.

CIF file:
```
data_NbCuSnOs
_cell_length_a 3.1886
_cell_length_b 4.7368
_cell_length_c 4.9353
_cell_angle_alpha 101.48
_cell_angle_beta 90.23
_cell_angle_gamma 109.62
_space_group_name_H-M_alt 'P 1'
_space_group_IT_number 1
loop_
_space_group_symop_operation_xyz
'x,y,z'
loop_
_atom_site_label
_atom_site_fract_x
_atom_site_fract_y
_atom_site_fract_z
Nb1 0.0000 0.0000 0.0000
Cu1 0.7561 0.5114 0.2701
Sn1 0.5117 0.0264 0.5074
Os1 0.2679 0.5397 0.8162
```

Calculated values
For the density of states at the Fermi level, the calculation gives 2.76 states/eV/cell. As for the symmetry: P1 (1). The energy relative to the lowest polymorph listed for this composition is 200 meV/atom.



NbCuSnOs: optimized geometry, GGA-PBE.

CIF file:
```
data_NbCuSnOs
_cell_length_a 5.3204
_cell_length_b 5.3204
_cell_length_c 4.6417
_cell_angle_alpha 113.74
_cell_angle_beta 113.74
_cell_angle_gamma 33.91
_space_group_name_H-M_alt 'P 1'
_space_group_IT_number 1
loop_
_space_group_symop_operation_xyz
'x,y,z'
loop_
_atom_site_label
_atom_site_fract_x
_atom_site_fract_y
_atom_site_fract_z
Nb1 0.0000 0.0000 0.0000
Cu1 0.7520 0.7520 0.1266
Sn1 0.2373 0.2373 0.6322
Os1 0.4889 0.4889 0.4997
```

Calculated values
For the density of states at the Fermi level, the calculation gives 2.54 states/eV/cell. As for the symmetry: Cm (8). The energy relative to the lowest polymorph listed for this composition is 182 meV/atom.



TbNbCuOs: optimized geometry, GGA-PBE.

CIF file:
```
data_TbNbCuOs
_cell_length_a 4.6684
_cell_length_b 4.6684
_cell_length_c 4.6684
_cell_angle_alpha 60.00
_cell_angle_beta 60.00
_cell_angle_gamma 60.00
_space_group_name_H-M_alt 'P 1'
_space_group_IT_number 1
loop_
_space_group_symop_operation_xyz
'x,y,z'
loop_
_atom_site_label
_atom_site_fract_x
_atom_site_fract_y
_atom_site_fract_z
Tb1 0.0000 0.0000 0.0000
Nb1 0.5000 0.5000 0.5000
Cu1 0.2500 0.2500 0.2500
Os1 0.7500 0.7500 0.7500
```

Calculated values
For the density of states at the Fermi level, the calculation gives 3.42 states/eV/cell. As for the symmetry: F-43m (216).



TiNbCuOs: optimized geometry, GGA-PBE.

CIF file:
```
data_TiNbCuOs
_cell_length_a 4.4340
_cell_length_b 4.4340
_cell_length_c 4.4340
_cell_angle_alpha 60.00
_cell_angle_beta 60.00
_cell_angle_gamma 60.00
_space_group_name_H-M_alt 'P 1'
_space_group_IT_number 1
loop_
_space_group_symop_operation_xyz
'x,y,z'
loop_
_atom_site_label
_atom_site_fract_x
_atom_site_fract_y
_atom_site_fract_z
Ti1 0.0000 0.0000 0.0000
Nb1 0.5000 0.5000 0.5000
Cu1 0.2500 0.2500 0.2500
Os1 0.7500 0.7500 0.7500
```

Calculated values
For the density of states at the Fermi level, the calculation gives 2.00 states/eV/cell. As for the symmetry: F-43m (216).



TmNbCuOs: optimized geometry, GGA-PBE.

CIF file:
```
data_TmNbCuOs
_cell_length_a 4.6252
_cell_length_b 4.6252
_cell_length_c 4.6252
_cell_angle_alpha 60.00
_cell_angle_beta 60.00
_cell_angle_gamma 60.00
_space_group_name_H-M_alt 'P 1'
_space_group_IT_number 1
loop_
_space_group_symop_operation_xyz
'x,y,z'
loop_
_atom_site_label
_atom_site_fract_x
_atom_site_fract_y
_atom_site_fract_z
Tm1 0.0000 0.0000 0.0000
Nb1 0.5000 0.5000 0.5000
Cu1 0.2500 0.2500 0.2500
Os1 0.7500 0.7500 0.7500
```

Calculated values
For the density of states at the Fermi level, the calculation gives 3.77 states/eV/cell. As for the symmetry: F-43m (216).



Nb3CuP: optimized geometry, GGA-PBE.

CIF file:
```
data_Nb3CuP
_cell_length_a 4.5987
_cell_length_b 4.5987
_cell_length_c 4.5987
_cell_angle_alpha 90.00
_cell_angle_beta 90.00
_cell_angle_gamma 90.00
_space_group_name_H-M_alt 'P 1'
_space_group_IT_number 1
loop_
_space_group_symop_operation_xyz
'x,y,z'
loop_
_atom_site_label
_atom_site_fract_x
_atom_site_fract_y
_atom_site_fract_z
Nb1 0.0000 0.0000 0.5000
Nb2 0.0000 0.5000 0.0000
Nb3 0.5000 0.0000 0.0000
Cu1 0.5000 0.5000 0.5000
P1 0.0000 0.0000 0.0000
```

Calculated values
For the density of states at the Fermi level, the calculation gives 6.82 states/eV/cell. As for the symmetry: Pm-3m (221). The energy relative to the lowest polymorph listed for this composition is 0 meV/atom.



NbCuP2: optimized geometry, GGA-PBE.

CIF file:
```
data_NbCuP2
_cell_length_a 6.6330
_cell_length_b 6.6330
_cell_length_c 6.6330
_cell_angle_alpha 131.08
_cell_angle_beta 131.08
_cell_angle_gamma 71.68
_space_group_name_H-M_alt 'P 1'
_space_group_IT_number 1
loop_
_space_group_symop_operation_xyz
'x,y,z'
loop_
_atom_site_label
_atom_site_fract_x
_atom_site_fract_y
_atom_site_fract_z
Nb1 0.0000 0.0000 0.0000
Nb2 0.7500 0.2500 0.5000
Cu1 0.2500 0.7500 0.5000
Cu2 0.5000 0.5000 0.0000
P1 0.1404 0.6250 0.0154
P2 0.3750 0.3904 0.5154
P3 0.6096 0.1250 0.9846
P4 0.8750 0.8596 0.4846
```

Calculated values
For the density of states at the Fermi level, the calculation gives 1.72 states/eV/cell. As for the symmetry: I-42d (122).



NbCu2P: optimized geometry, GGA-PBE.

CIF file:
```
data_NbCu2P
_cell_length_a 5.4656
_cell_length_b 5.4656
_cell_length_c 5.4656
_cell_angle_alpha 101.78
_cell_angle_beta 101.78
_cell_angle_gamma 126.28
_space_group_name_H-M_alt 'P 1'
_space_group_IT_number 1
loop_
_space_group_symop_operation_xyz
'x,y,z'
loop_
_atom_site_label
_atom_site_fract_x
_atom_site_fract_y
_atom_site_fract_z
Nb1 0.0000 0.0000 0.0000
Nb2 0.7500 0.2500 0.5000
Cu1 0.1712 0.6250 0.0462
Cu2 0.3750 0.4212 0.5462
Cu3 0.5788 0.1250 0.9538
Cu4 0.8750 0.8288 0.4538
P1 0.2500 0.7500 0.5000
P2 0.5000 0.5000 0.0000
```

Calculated values
For the density of states at the Fermi level, the calculation gives 1.84 states/eV/cell. As for the symmetry: I-42d (122).



| no. | energy of formation (eV per formula unit) | magnetization (μB per cell) |
| --- | --- | --- |
| 1 | 0.8 | 0.000 |
| 2 | 0.7 | 0.000 |
| 3 | 0.0 | 0.000 |
| 4 | -0.8 | 0.000 |
| 5 | -0.4 | 0.000 |
| 6 | 2.2 | 0.000 |
| 7 | -0.2 | 0.000 |
| 8 | 0.0 | 0.000 |